Below is crystalline Er2TmN at its relaxed geometry, with properties calculated at the GGA-PBE level.

Summary:
Formation energy from raw total energies ... -3.20 eV per formula unit

CIF file:
```
data_Er2TmN
_space_group_name_H-M_alt 'R -3 m'
_space_group_IT_number 166
_space_group_name_Hall '-R 3 2"'
_cell_length_a 3.4352
_cell_length_b 3.4352
_cell_length_c 26.5007
_cell_angle_alpha 90.00
_cell_angle_beta 90.00
_cell_angle_gamma 120.00
loop_
_atom_site_label
_atom_site_type_symbol
_atom_site_fract_x
_atom_site_fract_y
_atom_site_fract_z
_atom_site_occupancy
Er1 Er 0.0000 0.0000 0.2176 1
Tm1 Tm 0.0000 0.0000 0.0000 1
N1 N 0.0000 0.0000 0.5000 1
```

Below is crystalline ThRh4 at its relaxed geometry, with properties calculated at the GGA-PBE level.

Summary:
Energy relative to the elements ... -0.373 eV/atom

CIF file:
```
data_ThRh4
_space_group_name_H-M_alt 'I -4 3 m'
_space_group_IT_number 217
_space_group_name_Hall 'I -4 2 3'
_cell_length_a 9.0192
_cell_length_b 9.0192
_cell_length_c 9.0192
_cell_angle_alpha 90.00
_cell_angle_beta 90.00
_cell_angle_gamma 90.00
loop_
_atom_site_label
_atom_site_type_symbol
_atom_site_fract_x
_atom_site_fract_y
_atom_site_fract_z
_atom_site_occupancy
Th1 Th 0.2272 0.2272 0.7728 1
Rh1 Rh 0.0000 0.0000 0.3521 1
Rh2 Rh 0.0000 0.2500 0.5000 1
Rh3 Rh 0.1037 0.1037 0.1037 1
```

Below is crystalline CuRhAu2 at its relaxed geometry, with properties calculated at the GGA-PBE level.

Summary:
Energy relative to the elements ... 0.109 eV/atom
Energy relative to the lowest polymorph listed for this composition ... 0.187 eV per formula unit

CIF file:
```
data_CuRhAu2
_space_group_name_H-M_alt 'P 4/m m m'
_space_group_IT_number 123
_space_group_name_Hall '-P 4 2'
_cell_length_a 4.0689
_cell_length_b 4.0689
_cell_length_c 3.8051
_cell_angle_alpha 90.00
_cell_angle_beta 90.00
_cell_angle_gamma 90.00
loop_
_atom_site_label
_atom_site_type_symbol
_atom_site_fract_x
_atom_site_fract_y
_atom_site_fract_z
_atom_site_occupancy
Cu1 Cu 0.0000 0.0000 0.0000 1
Rh1 Rh 0.5000 0.5000 0.0000 1
Au1 Au 0.0000 0.5000 0.5000 1
```

Below is crystalline Hf2Zn5Cu at its relaxed geometry, with properties calculated at the GGA-PBE level.

Summary:
Energy relative to the elements ... -0.088 eV/atom

CIF file:
```
data_Hf2Zn5Cu
_space_group_name_H-M_alt 'C m c m'
_space_group_IT_number 63
_space_group_name_Hall '-C 2c 2'
_cell_length_a 3.4271
_cell_length_b 16.9569
_cell_length_c 9.0784
_cell_angle_alpha 90.00
_cell_angle_beta 90.00
_cell_angle_gamma 90.00
loop_
_atom_site_label
_atom_site_type_symbol
_atom_site_fract_x
_atom_site_fract_y
_atom_site_fract_z
_atom_site_occupancy
Hf1 Hf 0.0000 0.0000 0.0000 1
Hf2 Hf 0.0000 0.1706 0.2500 1
Zn1 Zn 0.0000 0.2159 0.6037 1
Zn2 Zn 0.0000 0.3704 0.5211 1
Zn3 Zn 0.0000 0.3979 0.2500 1
Cu1 Cu 0.0000 0.4585 0.7500 1
```